# 1
VASP calculation (GGA-PBE) on crystalline Ba2SbPb at its relaxed geometry.

magnetization = 0.00 μB/atom
formation energy (no corrections) = -0.720 eV/atom
electronic total energy = -3.6386 eV/atom

Cell: 4.7404 5.3377 12.9421 Å, 90.00 90.00 90.00°
Space group Amm2 (No. 38)
Symmetry-distinct sites (fractional):
Ba 0.0000 0.0000 0.0000 [2 per cell]
Ba 0.5000 0.0000 0.2709 [2 per cell]
Sb 0.0000 0.0000 0.7180 [2 per cell]
Pb 0.5000 0.0000 0.5554 [2 per cell]


# 2
VASP calculation (GGA-PBE) on crystalline LiTeMoI2 at its relaxed geometry.

magnetization = 0.22 μB/atom
formation energy (no corrections) = 0.630 eV/atom
electronic total energy = -3.1673 eV/atom

Cell: 5.2356 5.2356 5.9079 Å, 90.00 90.00 90.00°
Space group P4/mmm (No. 123)
Symmetry-distinct sites (fractional):
Li 0.0000 0.0000 0.0000 [1 per cell]
Te 0.5000 0.5000 0.0000 [1 per cell]
Mo 0.0000 0.0000 0.5000 [1 per cell]
I 0.0000 0.5000 0.5000 [2 per cell]


no.,DOS at the Fermi energy (states/eV/f.u.)
1,3.74
2,4.44